# 1
Below is a crystal of BeNbSbTe2 relaxed with PBEsol, with properties calculated at the SCAN level.

Lattice parameters (Å, degrees): 5.3049 5.3049 5.3854 90.00 90.00 90.00
Element x y z (fractional)
1 Be 0.0000 0.0000 0.0000
2 Nb 0.5000 0.5000 0.5000
3 Sb 0.5000 0.5000 0.0000
4 Te 0.0000 0.5000 0.5000
5 Te 0.5000 0.0000 0.5000

Results
As for the density of states at the Fermi level: 3.71 states/eV per cell. The value obtained for the spin magnetization is 0.00 Bohr magnetons per cell. The uncorrected formation energy comes out at 18.39 kcal/mol of atoms. The space-group type is P4/mmm (123).

***

# 2
Below is a crystal of TiBeNb2Sb relaxed with PBEsol, with properties calculated at the SCAN level.

Lattice parameters (Å, degrees): 4.9950 4.9950 4.8400 90.00 90.00 90.00
Element x y z (fractional)
1 Ti 0.0000 0.0000 0.0000
2 Be 0.5000 0.5000 0.0000
3 Nb 0.0000 0.5000 0.5000
4 Nb 0.5000 0.0000 0.5000
5 Sb 0.0000 0.0000 0.5000

Results
As for the density of states at the Fermi level: 5.45 states/eV per cell. The value obtained for the spin magnetization is 1.09 Bohr magnetons per cell. The uncorrected formation energy comes out at 37.03 kcal/mol of atoms. The space-group type is P4/mmm (123).

***

# 3
Below is a crystal of ScBe3Nb relaxed with PBEsol, with properties calculated at the SCAN level.

Lattice parameters (Å, degrees): 4.3525 4.3525 4.3525 90.00 90.00 90.00
Element x y z (fractional)
1 Sc 0.0000 0.0000 0.0000
2 Be 0.0000 0.5000 0.5000
3 Be 0.5000 0.0000 0.5000
4 Be 0.5000 0.5000 0.0000
5 Nb 0.5000 0.5000 0.5000

Results
As for the density of states at the Fermi level: 4.03 states/eV per cell. The value obtained for the total energy is -11.162 eV/atom. The value obtained for the spin magnetization is 0.00 Bohr magnetons per cell. The space-group type is Pm-3m (221).

***

# 4
Below is a crystal of BeNbSe2 relaxed with PBEsol, with properties calculated at the SCAN level.

Lattice parameters (Å, degrees): 3.1713 3.1713 23.8399 90.00 90.00 120.00
Element x y z (fractional)
1 Be 0.0000 0.0000 0.0000
2 Be 0.3333 0.6667 0.6667
3 Be 0.6667 0.3333 0.3333
4 Nb 0.0000 0.0000 0.5000
5 Nb 0.3333 0.6667 0.1667
6 Nb 0.6667 0.3333 0.8333
7 Se 0.0000 0.0000 0.3931
8 Se 0.0000 0.0000 0.6069
9 Se 0.3333 0.6667 0.0598
10 Se 0.3333 0.6667 0.2735
11 Se 0.6667 0.3333 0.7265
12 Se 0.6667 0.3333 0.9402

Results
As for the density of states at the Fermi level: 12.34 states/eV per cell. The value obtained for the spin magnetization is 0.01 Bohr magnetons per cell. The uncorrected formation energy comes out at 2.18 kcal/mol of atoms. The space-group type is R-3m (166).

***

# 5
Below is a crystal of Be2NbSe relaxed with PBEsol, with properties calculated at the SCAN level.

Lattice parameters (Å, degrees): 6.5181 6.5181 5.1751 90.00 90.00 90.00
Element x y z (fractional)
1 Be 0.2110 0.2500 0.1250
2 Be 0.2500 0.7110 0.3750
3 Be 0.2500 0.7890 0.8750
4 Be 0.2890 0.2500 0.6250
5 Be 0.7110 0.7500 0.6250
6 Be 0.7500 0.2110 0.8750
7 Be 0.7500 0.2890 0.3750
8 Be 0.7890 0.7500 0.1250
9 Nb 0.0000 0.0000 0.5000
10 Nb 0.0000 0.5000 0.7500
11 Nb 0.5000 0.0000 0.2500
12 Nb 0.5000 0.5000 0.0000
13 Se 0.0000 0.0000 0.0000
14 Se 0.0000 0.5000 0.2500
15 Se 0.5000 0.0000 0.7500
16 Se 0.5000 0.5000 0.5000

Results
As for the density of states at the Fermi level: 8.55 states/eV per cell. The value obtained for the spin magnetization is 0.00 Bohr magnetons per cell. The uncorrected formation energy comes out at 6.70 kcal/mol of atoms. The space-group type is I-42d (122).

***

# 6
Below is a crystal of BeNb2ZnSe relaxed with PBEsol, with properties calculated at the SCAN level.

Lattice parameters (Å, degrees): 4.5562 4.5562 3.8135 90.00 90.00 90.00
Element x y z (fractional)
1 Be 0.0000 0.0000 0.0000
2 Nb 0.0000 0.5000 0.0000
3 Nb 0.5000 0.0000 0.0000
4 Zn 0.0000 0.0000 0.5000
5 Se 0.5000 0.5000 0.5000

Results
As for the density of states at the Fermi level: 3.97 states/eV per cell. The value obtained for the spin magnetization is 0.00 Bohr magnetons per cell. The uncorrected formation energy comes out at 9.54 kcal/mol of atoms. The space-group type is P4/mmm (123).